--- A ---
# ScAuNO, optimized geometry, DFT PBE
# Magnetization (Bohr magnetons per cell): 0.000
data_ScAuNO
_cell_length_a 5.4634
_cell_length_b 7.3971
_cell_length_c 5.3318
_cell_angle_alpha 90.00
_cell_angle_beta 90.00
_cell_angle_gamma 90.00
_symmetry_space_group_name_H-M 'P c a 21'
_symmetry_Int_Tables_number 29
loop_
_symmetry_equiv_pos_as_xyz
'x,y,z'
'-x,-y,z+1/2'
'-x+1/2,y,z+1/2'
'x+1/2,-y,z'
loop_
_atom_site_label
_atom_site_type_symbol
_atom_site_fract_x
_atom_site_fract_y
_atom_site_fract_z
_atom_site_occupancy
Sc1 Sc 0.0477 0.1170 0.0000 1
Au1 Au 0.0557 0.4587 0.6240 1
N1 N 0.1562 0.3104 0.2932 1
O1 O 0.2476 0.9523 0.2413 1


--- B ---
# ScAuNO, optimized geometry, DFT PBE
# Magnetization (Bohr magnetons per cell): 0.000
data_ScAuNO
_cell_length_a 3.3234
_cell_length_b 3.3234
_cell_length_c 4.3897
_cell_angle_alpha 90.00
_cell_angle_beta 90.00
_cell_angle_gamma 90.00
_symmetry_space_group_name_H-M 'P 4/m m m'
_symmetry_Int_Tables_number 123
_symmetry_space_group_name_Hall '-P 4 2'
loop_
_atom_site_label
_atom_site_type_symbol
_atom_site_fract_x
_atom_site_fract_y
_atom_site_fract_z
_atom_site_occupancy
Sc1 Sc 0.0000 0.0000 0.0000 1
Au1 Au 0.5000 0.5000 0.5000 1
N1 N 0.5000 0.5000 0.0000 1
O1 O 0.0000 0.0000 0.5000 1


--- C ---
# ScAuNO, optimized geometry, DFT PBE
# Magnetization (Bohr magnetons per cell): 0.001
data_ScAuNO
_cell_length_a 7.9212
_cell_length_b 6.3588
_cell_length_c 4.5729
_cell_angle_alpha 90.00
_cell_angle_beta 90.00
_cell_angle_gamma 90.00
_symmetry_space_group_name_H-M 'P b c m'
_symmetry_Int_Tables_number 57
loop_
_symmetry_equiv_pos_as_xyz
'x,y,z'
'-x,-y,-z'
'-x,-y,z+1/2'
'x,y,-z+1/2'
'x,-y+1/2,-z'
'-x,y+1/2,z'
'-x,y+1/2,-z+1/2'
'x,-y+1/2,z+1/2'
loop_
_atom_site_label
_atom_site_type_symbol
_atom_site_fract_x
_atom_site_fract_y
_atom_site_fract_z
_atom_site_occupancy
Sc1 Sc 0.1264 0.0791 0.2500 1
Au1 Au 0.3588 0.0161 0.7500 1
N1 N 0.1031 0.0894 0.7500 1
O1 O 0.3749 0.5026 0.7500 1


Relative stability in meV/atom, measured from the most stable structure: A 0; B 250; C 190